[1]
Below is CeSmRh after structural relaxation, with properties calculated at the PBE level.

Results
The energy above the lowest structure with this stoichiometry is 0.107 eV per atom. Its crystal system is monoclinic. Its formation enthalpy at 0 K is -0.398 eV per atom.

Cell: 7.244 6.859 7.257 Å, 65.95 90.00 90.00°
Each line ends with the local moment (μB).
Positions (direct):
Ce: 0.666 0.789 0.026  0.67
Ce: 0.334 0.211 0.974  0.67
Ce: 0.166 0.211 0.474  0.67
Ce: 0.834 0.789 0.526  0.67
Sm: 0.175 0.717 0.929  0.07
Sm: 0.325 0.717 0.429  0.07
Sm: 0.825 0.283 0.071  0.07
Sm: 0.675 0.283 0.571  0.07
Rh: 0.560 0.571 0.781  -0.02
Rh: 0.440 0.429 0.219  -0.02
Rh: 0.940 0.571 0.281  -0.02
Rh: 0.060 0.429 0.719  -0.02



[2]
Below is MnNbCrRe after structural relaxation, with properties calculated at the PBE level.

Results
Its crystal system is cubic. Its formation enthalpy at 0 K is 0.007 eV per atom.

Cell: 4.284 4.284 4.284 Å, 60.00 60.00 60.00°
Each line ends with the local moment (μB).
Positions (direct):
Re: 0.500 0.500 0.500  0.01
Nb: 0.000 0.000 0.000  -0.08
Mn: 0.750 0.750 0.750  0.60
Cr: 0.250 0.250 0.250  0.00



[3]
Below is UTl2SiS6 after structural relaxation, with properties calculated at the PBE level.

Results
The calculation puts the formation energy (no corrections) at -554 kJ/mol of formula units. Its crystal system is trigonal.

Cell: 6.899 6.899 6.837 Å, 59.70 59.70 60.00°
Each line ends with the local moment (μB).
Positions (direct):
U: 0.816 0.816 0.552  -0.09
Tl: 0.567 0.567 0.299  0.00
Tl: 0.065 0.065 0.804  0.00
Si: 0.316 0.316 0.052  0.00
S: 0.552 0.119 0.291  0.01
S: 0.119 0.037 0.291  0.01
S: 0.037 0.552 0.291  0.01
S: 0.513 0.595 0.812  0.01
S: 0.595 0.080 0.812  0.01
S: 0.080 0.513 0.812  0.01